## Sr2Fe3 (PBE)

Data for an optimized crystal structure of Sr2Fe3.

Cell lengths 8.3133, 5.6556, 9.0721 Å; angles 63.88, 37.65, 78.47 degrees
With the nearest neighbours (Å) after each atom.
Sites, in units of the cell vectors:
Sr 0.2163 0.7837 0.3832  7 Fe 2.99-3.32
Sr 0.6332 0.8668 0.4663  7 Fe 2.99-3.32
Sr 0.7837 0.2163 0.6168  7 Fe 2.99-3.32
Sr 0.8668 0.6332 0.0337  7 Fe 2.99-3.32
Fe 0.2097 0.2097 0.7903  4 Fe 2.44-2.47
Fe 0.2254 0.3021 0.0215  2 Fe 2.44-2.47
Fe 0.2285 0.7990 0.0246  2 Fe 2.44-2.47
Fe 0.3021 0.2254 0.4510  2 Fe 2.44-2.47
Fe 0.4597 0.4597 0.0403  4 Fe 2.44-2.47
Fe 0.7990 0.2285 0.9478  2 Fe 2.44-2.47

Computed properties:
- DFT total energy: -5.24 eV/atom
- Volume: 225.2 Å³/cell
- Calculated formation energy: 2.53 eV per formula unit